# TmTl3Bi3Se8 (PBE, relaxed)
# energy: -4.05 eV per atom
# formation energy without anion corrections: -0.640 eV/atom
data_TmTl3Bi3Se8
_cell_length_a 14.6749
_cell_length_b 8.4821
_cell_length_c 8.9396
_cell_angle_alpha 90.00
_cell_angle_beta 123.08
_cell_angle_gamma 90.00
_space_group_name_H-M_alt 'C 1 2/m 1'
_space_group_IT_number 12
loop_
_space_group_symop_operation_xyz
'x,y,z'
'-x,-y,-z'
'-x,y,-z'
'x,-y,z'
'x+1/2,y+1/2,z'
'-x+1/2,-y+1/2,-z'
'-x+1/2,y+1/2,-z'
'x+1/2,-y+1/2,z'
loop_
_atom_site_label
_atom_site_type_symbol
_atom_site_fract_x
_atom_site_fract_y
_atom_site_fract_z
Tm1 Tm 0.0000 0.0000 0.0000
Tl1 Tl 0.0000 0.0000 0.5000
Tl2 Tl 0.2500 0.2500 0.5000
Bi1 Bi 0.0000 0.5000 0.0000
Bi2 Bi 0.2500 0.2500 0.0000
Se1 Se 0.0090 0.2420 0.7845
Se2 Se 0.2332 0.0000 0.2157
Se3 Se 0.2415 0.5000 0.2247